Record 1
Material: ZnSiF2
Method: DFT, PBE
State: relaxed

Summary:
formation energy without anion corrections = -1.04 eV per atom
space-group type = R-3m, No. 166
energy relative to the lowest polymorph listed for this composition = 447 meV/atom
magnetic moment = 0.00 Bohr magnetons per cell

a b c (Å): 7.993 7.993 7.993
angles (deg): 19.66 19.66 19.66
Fractional coordinates of all 4 atoms:
Zn: 0.000 0.000 0.000
Si: 0.500 0.500 0.500
F: 0.907 0.907 0.907
F: 0.093 0.093 0.093

Record 2
Material: SrLiCl2
Method: DFT, PBE
State: relaxed

Summary:
formation energy without anion corrections = -1.64 eV per atom
space-group type = R-3m, No. 166
energy relative to the lowest polymorph listed for this composition = 8 meV/atom
magnetic moment = 0.63 Bohr magnetons per cell

a b c (Å): 3.849 3.849 7.790
angles (deg): 75.66 75.66 59.98
Site moments in Bohr magnetons follow the coordinates.
Fractional coordinates of all 4 atoms:
Cl: 0.019 0.019 0.942  0.01
Cl: 0.481 0.481 0.558  0.01
Li: 0.750 0.750 0.750  0.00
Sr: 0.250 0.250 0.250  0.16

Record 3
Material: CuTc2Cl
Method: DFT, PBE
State: relaxed

Summary:
formation energy without anion corrections = 0.43 eV per atom
space-group type = Cmm2, No. 35
energy relative to the lowest polymorph listed for this composition = 256 meV/atom
magnetic moment = 0.00 Bohr magnetons per cell

a b c (Å): 2.826 2.826 8.521
angles (deg): 90.00 90.00 117.69
Fractional coordinates of all 4 atoms:
Tc: 0.000 0.000 0.002
Tc: 0.500 0.500 0.245
Cu: 0.500 0.500 0.745
Cl: 0.000 0.000 0.508

Record 4
Material: PmPr3Y
Method: DFT, PBE
State: relaxed

Summary:
space-group type = C2/m, No. 12
energy relative to the lowest polymorph listed for this composition = 0 meV/atom
energy relative to the elements = 0.014 eV/atom
magnetic moment = 0.00 Bohr magnetons per cell

a b c (Å): 5.196 6.360 11.642
angles (deg): 89.85 90.02 114.13
Fractional coordinates of all 10 atoms:
Pm: 0.549 0.099 0.349
Pm: 0.451 0.901 0.651
Pr: 0.249 0.498 0.248
Pr: 0.150 0.300 0.551
Pr: 0.051 0.102 0.852
Pr: 0.949 0.898 0.148
Pr: 0.751 0.502 0.752
Pr: 0.850 0.700 0.449
Y: 0.650 0.299 0.049
Y: 0.350 0.701 0.951

Record 5
Material: CsNaMg
Method: DFT, PBE
State: relaxed

Summary:
space-group type = Cm, No. 8
energy relative to the lowest polymorph listed for this composition = 12 meV/atom
energy relative to the elements = 0.125 eV/atom
magnetic moment = 0.00 Bohr magnetons per cell

a b c (Å): 7.212 5.617 14.768
angles (deg): 90.00 92.03 90.00
Fractional coordinates of all 12 atoms:
Cs: 0.515 0.000 0.991
Cs: 0.515 0.500 0.491
Cs: 0.022 0.000 0.423
Cs: 0.022 0.500 0.923
Na: 0.761 0.000 0.716
Na: 0.761 0.500 0.216
Na: 0.040 0.000 0.160
Na: 0.040 0.500 0.660
Mg: 0.287 0.000 0.722
Mg: 0.287 0.500 0.222
Mg: 0.484 0.000 0.262
Mg: 0.484 0.500 0.762

Record 6
Material: LaTmPu2Sb4
Method: DFT, PBE
State: relaxed

Summary:
formation energy without anion corrections = -0.85 eV per atom
space-group type = P2/m, No. 10
magnetic moment = 0.12 Bohr magnetons per cell

a b c (Å): 4.470 7.725 7.704
angles (deg): 109.52 90.00 90.00
Site moments in Bohr magnetons follow the coordinates.
Fractional coordinates of all 8 atoms:
La: 0.500 0.500 0.000  -0.03
Tm: 0.000 0.000 0.000  0.05
Pu: 0.500 0.000 0.500  5.18
Pu: 0.000 0.500 0.500  -5.26
Sb: 0.500 0.242 0.250  0.02
Sb: 0.500 0.758 0.750  0.02
Sb: 0.000 0.239 0.743  -0.03
Sb: 0.000 0.761 0.257  -0.03

Record 7
Material: La3BiN
Method: DFT, PBE
State: relaxed

Summary:
formation energy without anion corrections = -0.69 eV per atom
space-group type = R-3c, No. 167
magnetic moment = 2.15 Bohr magnetons per cell

a b c (Å): 8.464 8.464 8.464
angles (deg): 54.84 54.84 54.84
Site moments in Bohr magnetons follow the coordinates.
Fractional coordinates of all 10 atoms:
N: 0.250 0.250 0.250  -0.01
N: 0.750 0.750 0.750  -0.01
Bi: 0.000 0.000 0.000  -0.02
Bi: 0.500 0.500 0.500  -0.02
La: 0.965 0.535 0.250  0.10
La: 0.535 0.250 0.965  0.11
La: 0.250 0.965 0.535  0.13
La: 0.750 0.035 0.465  0.13
La: 0.465 0.750 0.035  0.11
La: 0.035 0.465 0.750  0.10

Record 8
Material: Mg3Zr
Method: DFT, PBE
State: relaxed

Summary:
space-group type = P4/nmm, No. 129
energy relative to the elements = -0.001 eV/atom
magnetic moment = 0.00 Bohr magnetons per cell

a b c (Å): 3.119 3.119 18.779
angles (deg): 90.00 90.00 90.00
Fractional coordinates of all 8 atoms:
Mg: 0.500 0.000 0.810
Mg: 0.000 0.500 0.685
Mg: 0.500 0.000 0.562
Mg: 0.000 0.500 0.438
Mg: 0.500 0.000 0.315
Mg: 0.000 0.500 0.190
Zr: 0.500 0.000 0.060
Zr: 0.000 0.500 0.940